{
  "formula": "KCrB2F8",
  "functional": "PBE+U",
  "state": "optimized geometry",
  "cell": [[2.559, 1.478, 7.447], [-2.559, 1.478, 7.447], [0.000, -2.955, 7.447]],
  "species": ["K", "Cr", "B", "B", "F", "F", "F", "F", "F", "F", "F", "F"],
  "frac_coords": [[0.000, 0.000, 0.000], [0.500, 0.500, 0.500], [0.253, 0.253, 0.253], [0.747, 0.747, 0.747], [0.016, 0.494, 0.795], [0.205, 0.984, 0.506], [0.316, 0.316, 0.316], [0.494, 0.795, 0.016], [0.506, 0.205, 0.984], [0.684, 0.684, 0.684], [0.795, 0.016, 0.494], [0.984, 0.506, 0.205]],
  "space_group": "R-3",
  "crystal_system": "trigonal",
  "dft_energy_ev_per_atom": -5.77
}